## Y3HgB (GGA-PBE)

Data for Y3HgB after structural relaxation.

The formation energy is -0.189 eV/atom.

It has space group Pm-3m (No. 221), with a = 5.045 Å, b = 5.045 Å, c = 5.045 Å, α = 90.00°, β = 90.00° and γ = 90.00°. Symmetry generates all atoms from Y at (0.000, 0.000, 0.500), Hg at (0.500, 0.500, 0.500) and B at (0.000, 0.000, 0.000).